The following is a PBE calculation of Sr2Re after structural relaxation, from Alexandria.

Properties
Total magnetization   0.0 μB/f.u.
Theoretical density   5.53 Mg/m³
E_form   0.46 eV/atom
N(E_F)   3.14 states/eV/f.u.
Symmetry   Cm (8)
Electronic total energy   -28.88 eV/cell

Cell lengths 6.532, 6.532, 9.088 Å; angles 78.03, 78.03, 34.99 degrees
Sites, in units of the cell vectors:
Re  0.292  0.292  0.351
Re  0.871  0.871  0.221
Sr  0.622  0.622  0.169
Sr  0.974  0.974  0.498
Sr  0.382  0.382  0.937
Sr  0.693  0.693  0.656

---

The following is a PBE calculation of SrRe after structural relaxation, from Alexandria.

Properties
Total magnetization   0.0 μB/f.u.
Theoretical density   10.77 Mg/m³
E_form   1.47 eV/atom
N(E_F)   2.29 states/eV/f.u.
Symmetry   P-6m2 (187)
Electronic total energy   -11.20 eV/cell

Cell lengths 2.980, 2.980, 5.493 Å; angles 90.00, 90.00, 120.00 degrees
Sites, in units of the cell vectors:
Re  0.000  0.000  0.000
Sr  0.667  0.333  0.500

---

The following is a PBE calculation of SrRe after structural relaxation, from Alexandria.

Properties
Total magnetization   1.4 μB/f.u.
Theoretical density   4.27 Mg/m³
E_form   1.56 eV/atom
N(E_F)   3.17 states/eV/f.u.
Symmetry   I-43m (217)
Electronic total energy   -88.16 eV/cell

Cell lengths 9.483, 9.483, 9.483 Å; angles 90.00, 90.00, 90.00 degrees
Sites, in units of the cell vectors:
Re  0.407  0.593  0.593
Re  0.593  0.593  0.407
Re  0.907  0.907  0.907
Re  0.907  0.093  0.093
Re  0.093  0.907  0.093
Re  0.407  0.407  0.407
Re  0.093  0.093  0.907
Re  0.593  0.407  0.593
Sr  0.291  0.291  0.709
Sr  0.791  0.791  0.209
Sr  0.291  0.709  0.291
Sr  0.709  0.709  0.709
Sr  0.791  0.209  0.791
Sr  0.209  0.791  0.791
Sr  0.209  0.209  0.209
Sr  0.709  0.291  0.291

---

The following is a PBE calculation of SrRe after structural relaxation, from Alexandria.

Properties
Total magnetization   0.4 μB/f.u.
Theoretical density   7.41 Mg/m³
E_form   0.73 eV/atom
N(E_F)   2.22 states/eV/f.u.
Symmetry   Imm2 (44)
Electronic total energy   -76.04 eV/cell

Cell lengths 13.573, 3.867, 7.018 Å; angles 90.00, 90.00, 90.00 degrees
Sites, in units of the cell vectors:
Re  0.410  0.500  0.904
Re  0.090  0.000  0.404
Re  0.590  0.500  0.904
Re  0.910  0.000  0.404
Re  0.500  0.000  0.050
Re  0.000  0.500  0.550
Sr  0.285  0.500  0.288
Sr  0.215  0.000  0.788
Sr  0.500  0.000  0.569
Sr  0.000  0.500  0.069
Sr  0.715  0.500  0.288
Sr  0.785  0.000  0.788

---

The following is a PBE calculation of SrRe2 after structural relaxation, from Alexandria.

Properties
Total magnetization   0.0 μB/f.u.
Theoretical density   10.99 Mg/m³
E_form   1.96 eV/atom
N(E_F)   3.86 states/eV/f.u.
Symmetry   I4/mcm (140)
Electronic total energy   -41.37 eV/cell

Cell lengths 5.772, 5.772, 5.772 Å; angles 102.04, 102.04, 125.65 degrees
Sites, in units of the cell vectors:
Sr  0.250  0.250  0.000
Sr  0.750  0.750  0.000
Re  0.608  0.892  0.500
Re  0.108  0.608  0.716
Re  0.392  0.108  0.500
Re  0.892  0.392  0.284

---

The following is a PBE calculation of SrRe after structural relaxation, from Alexandria.

Properties
Total magnetization   0.0 μB/f.u.
Theoretical density   6.85 Mg/m³
E_form   0.34 eV/atom
N(E_F)   1.96 states/eV/f.u.
Symmetry   R-3m (166)
Electronic total energy   -26.91 eV/cell

Cell lengths 8.922, 8.922, 8.922 Å; angles 27.40, 27.40, 27.40 degrees
Sites, in units of the cell vectors:
Sr  0.089  0.089  0.089
Sr  0.911  0.911  0.911
Re  0.326  0.326  0.326
Re  0.674  0.674  0.674

---

The following is a PBE calculation of SrRe4 after structural relaxation, from Alexandria.

Properties
Total magnetization   0.0 μB/f.u.
Theoretical density   13.66 Mg/m³
E_form   3.32 eV/atom
N(E_F)   6.92 states/eV/f.u.
Symmetry   Im-3m (229)
Electronic total energy   -34.89 eV/cell

Cell lengths 5.085, 5.085, 5.085 Å; angles 109.47, 109.47, 109.47 degrees
Sites, in units of the cell vectors:
Sr  0.000  0.000  0.000
Re  0.000  0.000  0.500
Re  0.500  0.000  0.000
Re  0.000  0.500  0.000
Re  0.500  0.500  0.500

---

The following is a PBE calculation of SrRe after structural relaxation, from Alexandria.

Properties
Total magnetization   3.1 μB/f.u.
Theoretical density   7.18 Mg/m³
E_form   2.33 eV/atom
N(E_F)   3.77 states/eV/f.u.
Symmetry   Fm-3m (225)
Electronic total energy   -9.48 eV/cell

Cell lengths 4.474, 4.474, 4.474 Å; angles 60.00, 60.00, 60.00 degrees
Sites, in units of the cell vectors:
Sr  0.500  0.500  0.500
Re  0.000  0.000  0.000

---

The following is a PBE calculation of SrRe after structural relaxation, from Alexandria.

Properties
Total magnetization   0.0 μB/f.u.
Theoretical density   6.16 Mg/m³
E_form   0.63 eV/atom
N(E_F)   2.14 states/eV/f.u.
Symmetry   P4/m (83)
Electronic total energy   -102.94 eV/cell

Cell lengths 11.961, 11.961, 4.129 Å; angles 90.00, 90.00, 90.00 degrees
Sites, in units of the cell vectors:
Sr  0.678  0.679  0.500
Sr  0.997  0.691  0.000
Sr  0.309  0.997  0.000
Sr  0.691  0.003  0.000
Sr  0.679  0.322  0.500
Sr  0.322  0.321  0.500
Sr  0.321  0.678  0.500
Sr  0.003  0.309  0.000
Re  0.490  0.796  0.000
Re  0.796  0.510  0.000
Re  0.102  0.514  0.500
Re  0.514  0.898  0.500
Re  0.486  0.102  0.500
Re  0.204  0.490  0.000
Re  0.898  0.486  0.500
Re  0.510  0.204  0.000

---

The following is a PBE calculation of SrRe after structural relaxation, from Alexandria.

Properties
Total magnetization   0.0 μB/f.u.
Theoretical density   9.13 Mg/m³
E_form   0.87 eV/atom
N(E_F)   2.08 states/eV/f.u.
Symmetry   Fddd (70)
Electronic total energy   -198.35 eV/cell

Cell lengths 5.892, 14.694, 9.206 Å; angles 90.00, 90.00, 90.00 degrees
Sites, in units of the cell vectors:
Sr  0.000  0.000  0.337
Sr  0.500  0.000  0.163
Sr  0.750  0.250  0.587
Sr  0.000  0.000  0.663
Sr  0.750  0.750  0.087
Sr  0.250  0.250  0.087
Sr  0.500  0.000  0.837
Sr  0.250  0.750  0.913
Sr  0.000  0.500  0.163
Sr  0.000  0.500  0.837
Sr  0.250  0.750  0.587
Sr  0.750  0.250  0.913
Sr  0.250  0.250  0.413
Sr  0.750  0.750  0.413
Sr  0.500  0.500  0.663
Sr  0.500  0.500  0.337
Re  0.000  0.921  0.000
Re  0.250  0.671  0.250
Re  0.250  0.829  0.250
Re  0.750  0.671  0.750
Re  0.500  0.079  0.500
Re  0.500  0.421  0.000
Re  0.750  0.829  0.750
Re  0.750  0.329  0.250
Re  0.000  0.079  0.000
Re  0.500  0.579  0.000
Re  0.500  0.921  0.500
Re  0.000  0.421  0.500
Re  0.750  0.171  0.250
Re  0.250  0.171  0.750
Re  0.250  0.329  0.750
Re  0.000  0.579  0.500

---

The following is a PBE calculation of SrRe after structural relaxation, from Alexandria.

Properties
Total magnetization   0.0 μB/f.u.
Theoretical density   8.29 Mg/m³
E_form   0.64 eV/atom
N(E_F)   2.42 states/eV/f.u.
Symmetry   Imma (74)
Electronic total energy   -25.68 eV/cell

Cell lengths 6.297, 6.297, 3.777 Å; angles 72.55, 72.55, 50.95 degrees
Sites, in units of the cell vectors:
Sr  0.317  0.151  0.266
Sr  0.599  0.432  0.484
Re  0.025  0.858  0.058
Re  0.891  0.725  0.692

---

The following is a PBE calculation of SrRe4 after structural relaxation, from Alexandria.

Properties
Total magnetization   0.0 μB/f.u.
Theoretical density   13.70 Mg/m³
E_form   0.32 eV/atom
N(E_F)   5.34 states/eV/f.u.
Symmetry   I4/mmm (139)
Electronic total energy   -49.88 eV/cell

Cell lengths 6.076, 6.076, 6.076 Å; angles 137.59, 137.59, 61.54 degrees
Sites, in units of the cell vectors:
Re  0.627  0.627  0.000
Re  0.250  0.750  0.500
Re  0.373  0.373  0.000
Re  0.750  0.250  0.500
Sr  0.000  0.000  0.000

---

The following is a PBE calculation of SrRe2 after structural relaxation, from Alexandria.

Properties
Total magnetization   0.0 μB/f.u.
Theoretical density   13.32 Mg/m³
E_form   0.98 eV/atom
N(E_F)   2.99 states/eV/f.u.
Symmetry   P-3m1 (164)
Electronic total energy   -23.62 eV/cell

Cell lengths 2.939, 2.939, 7.665 Å; angles 90.00, 90.00, 120.00 degrees
Sites, in units of the cell vectors:
Re  0.667  0.333  0.632
Re  0.333  0.667  0.368
Sr  0.000  0.000  0.000

---

The following is a PBE calculation of SrRe2 after structural relaxation, from Alexandria.

Properties
Total magnetization   0.0 μB/f.u.
Theoretical density   11.56 Mg/m³
E_form   3.10 eV/atom
N(E_F)   4.96 states/eV/f.u.
Symmetry   Fm-3m (225)
Electronic total energy   -17.28 eV/cell

Cell lengths 4.538, 4.538, 4.538 Å; angles 60.00, 60.00, 60.00 degrees
Sites, in units of the cell vectors:
Re  0.250  0.250  0.250
Re  0.750  0.750  0.750
Sr  0.000  0.000  0.000

---

The following is a PBE calculation of Sr2Re after structural relaxation, from Alexandria.

Properties
Total magnetization   2.4 μB/f.u.
Theoretical density   5.50 Mg/m³
E_form   1.27 eV/atom
N(E_F)   3.09 states/eV/f.u.
Symmetry   Pa-3 (205)
Electronic total energy   -48.00 eV/cell

Cell lengths 7.586, 7.586, 7.586 Å; angles 90.00, 90.00, 90.00 degrees
Sites, in units of the cell vectors:
Re  0.000  0.000  0.000
Re  0.500  0.500  0.000
Re  0.000  0.500  0.500
Re  0.500  0.000  0.500
Sr  0.165  0.835  0.665
Sr  0.165  0.665  0.165
Sr  0.665  0.835  0.835
Sr  0.835  0.165  0.335
Sr  0.835  0.335  0.835
Sr  0.335  0.335  0.665
Sr  0.665  0.665  0.335
Sr  0.335  0.165  0.165

---

The following is a PBE calculation of SrRe4 after structural relaxation, from Alexandria.

Properties
Total magnetization   1.3 μB/f.u.
Theoretical density   13.94 Mg/m³
E_form   4.03 eV/atom
N(E_F)   4.74 states/eV/f.u.
Symmetry   Pm-3m (221)
Electronic total energy   -31.33 eV/cell

Cell lengths 4.628, 4.628, 4.628 Å; angles 90.00, 90.00, 90.00 degrees
Sites, in units of the cell vectors:
Sr  0.500  0.500  0.500
Re  0.500  0.500  0.000
Re  0.000  0.000  0.000
Re  0.000  0.500  0.500
Re  0.500  0.000  0.500

---

The following is a PBE calculation of Sr2Re after structural relaxation, from Alexandria.

Properties
Total magnetization   0.2 μB/f.u.
Theoretical density   5.97 Mg/m³
E_form   1.17 eV/atom
N(E_F)   3.73 states/eV/f.u.
Symmetry   Pnnm (58)
Electronic total energy   -24.60 eV/cell

Cell lengths 3.156, 7.891, 8.067 Å; angles 90.00, 90.00, 90.00 degrees
Sites, in units of the cell vectors:
Sr  0.000  0.784  0.312
Sr  0.500  0.716  0.812
Sr  0.500  0.284  0.188
Sr  0.000  0.216  0.688
Re  0.000  0.000  0.000
Re  0.500  0.500  0.500

---

The following is a PBE calculation of SrRe after structural relaxation, from Alexandria.

Properties
Total magnetization   0.0 μB/f.u.
Theoretical density   7.99 Mg/m³
E_form   0.56 eV/atom
N(E_F)   1.82 states/eV/f.u.
Symmetry   Cmcm (63)
Electronic total energy   -26.04 eV/cell

Cell lengths 9.414, 9.414, 3.735 Å; angles 90.00, 90.00, 159.89 degrees
Sites, in units of the cell vectors:
Re  0.234  0.766  0.250
Re  0.766  0.234  0.750
Sr  0.401  0.599  0.250
Sr  0.599  0.401  0.750

---

The following is a PBE calculation of SrRe2 after structural relaxation, from Alexandria.

Properties
Total magnetization   0.0 μB/f.u.
Theoretical density   10.79 Mg/m³
E_form   0.74 eV/atom
N(E_F)   2.50 states/eV/f.u.
Symmetry   Cm (8)
Electronic total energy   -48.69 eV/cell

Cell lengths 5.843, 5.843, 7.601 Å; angles 87.97, 87.97, 33.09 degrees
Sites, in units of the cell vectors:
Re  0.668  0.668  0.673
Re  0.409  0.409  0.721
Re  0.271  0.271  0.478
Re  0.036  0.036  0.862
Sr  0.011  0.011  0.365
Sr  0.773  0.773  0.067

---

The following is a PBE calculation of SrRe2 after structural relaxation, from Alexandria.

Properties
Total magnetization   0.0 μB/f.u.
Theoretical density   10.25 Mg/m³
E_form   0.60 eV/atom
N(E_F)   3.37 states/eV/f.u.
Symmetry   Cmcm (63)
Electronic total energy   -49.55 eV/cell

Cell lengths 11.313, 11.313, 4.315 Å; angles 90.00, 90.00, 164.34 degrees
Sites, in units of the cell vectors:
Re  0.551  0.449  0.750
Re  0.046  0.954  0.250
Re  0.449  0.551  0.250
Re  0.954  0.046  0.750
Sr  0.328  0.672  0.750
Sr  0.672  0.328  0.250